Rh2WBr PBE-GGA optimized geometry; DOS(E_F) = 5.9 states/eV per cell; magnetization = 0.0 μB/f.u.; ΔE_f (raw) = 519 meV/atom; SG = No. 99; energy above the most stable polymorph in this dataset = 370 meV per atom
1.0
2.9763 0.0000 0.0000
0.0000 2.9763 0.0000
0.0000 0.0000 7.1928
W Rh Br
1 2 1
direct
0.0000 0.0000 0.4914
0.5000 0.5000 0.2668
0.0000 0.0000 0.9986
0.5000 0.5000 0.7431